Record 1
A relaxed KY2W crystal, computed with GGA-PBE.

Cell and atoms, written as POSCAR:
```
KY2W
1.0
3.210 0.000 0.000
0.000 5.135 0.000
0.000 0.000 17.495
K Y W
2 4 2
Direct
0.000 0.000 0.000
0.500 0.500 0.500
0.000 0.000 0.324
0.000 0.500 0.190
0.500 0.000 0.690
0.500 0.500 0.824
0.000 0.500 0.687
0.500 0.000 0.187
```

Values from the calculation:
E_tot = -0.2175 Ha/atom
Calculated volume = 288 Å³/cell
Excess energy over the best structure of this formula in the dataset = 345.8 meV/atom
Formation energy from the elements = 0.825 eV per atom

---

Record 2
A relaxed KY2W crystal, computed with GGA-PBE.

Cell and atoms, written as POSCAR:
```
KY2W
1.0
7.532 0.000 0.000
0.000 7.532 0.000
0.000 0.000 7.532
K Y W
4 8 4
Direct
0.000 0.000 0.000
0.000 0.500 0.500
0.500 0.000 0.500
0.500 0.500 0.000
0.250 0.250 0.250
0.250 0.250 0.750
0.250 0.750 0.250
0.250 0.750 0.750
0.750 0.250 0.250
0.750 0.250 0.750
0.750 0.750 0.250
0.750 0.750 0.750
0.000 0.000 0.500
0.000 0.500 0.000
0.500 0.000 0.000
0.500 0.500 0.500
```

Values from the calculation:
E_tot = -0.2104 Ha/atom
Calculated volume = 427 Å³/cell
Excess energy over the best structure of this formula in the dataset = 539.3 meV/atom
Formation energy from the elements = 1.019 eV per atom

---

Record 3
A relaxed KYW2 crystal, computed with GGA-PBE.

Cell and atoms, written as POSCAR:
```
KYW2
1.0
3.402 0.000 0.000
0.000 5.178 0.000
0.000 0.000 14.265
K Y W
2 2 4
Direct
0.000 0.000 0.000
0.500 0.500 0.500
0.000 0.500 0.239
0.500 0.000 0.739
0.000 0.000 0.352
0.000 0.500 0.731
0.500 0.000 0.231
0.500 0.500 0.852
```

Values from the calculation:
E_tot = -0.2692 Ha/atom
Calculated volume = 251 Å³/cell
Excess energy over the best structure of this formula in the dataset = 370.0 meV/atom
Formation energy from the elements = 1.041 eV per atom

---

Record 4
A relaxed KY2W crystal, computed with GGA-PBE.

Cell and atoms, written as POSCAR:
```
KY2W
1.0
7.645 0.000 0.000
0.000 7.645 0.000
0.000 0.000 7.645
K Y W
4 8 4
Direct
0.000 0.000 0.000
0.000 0.500 0.500
0.500 0.000 0.500
0.500 0.500 0.000
0.000 0.000 0.500
0.000 0.500 0.000
0.250 0.250 0.750
0.250 0.750 0.250
0.500 0.000 0.000
0.500 0.500 0.500
0.750 0.250 0.250
0.750 0.750 0.750
0.250 0.250 0.250
0.250 0.750 0.750
0.750 0.250 0.750
0.750 0.750 0.250
```

Values from the calculation:
E_tot = -0.2001 Ha/atom
Calculated volume = 447 Å³/cell
Excess energy over the best structure of this formula in the dataset = 819.7 meV/atom
Formation energy from the elements = 1.299 eV per atom